[1]
Here is crystalline Y6InOs at its relaxed geometry from Alexandria. Energies are from PBE.

Cell and atoms, written as POSCAR:
```
Y6InOs
1.0
5.0121 0.0000 0.0000
0.0000 5.0121 0.0000
0.0000 0.0000 17.8536
Y In Os
12 2 2
direct
0.0000 0.0000 0.2480
0.0000 0.0000 0.7520
0.0000 0.5000 0.1001
0.0000 0.5000 0.3999
0.0000 0.5000 0.6001
0.0000 0.5000 0.8999
0.5000 0.0000 0.1001
0.5000 0.0000 0.3999
0.5000 0.0000 0.6001
0.5000 0.0000 0.8999
0.5000 0.5000 0.2520
0.5000 0.5000 0.7480
0.0000 0.0000 0.0000
0.5000 0.5000 0.5000
0.0000 0.0000 0.5000
0.5000 0.5000 0.0000
```

Computed properties:
Total magnetic moment (μB/atom): 0.001
Energy of formation (meV/atom): -98

---

[2]
Here is crystalline YInOs3 at its relaxed geometry from Alexandria. Energies are from PBE.

Cell and atoms, written as POSCAR:
```
YInOs3
1.0
4.9314 0.0000 0.0000
0.0000 4.9314 0.0000
0.0000 0.0000 4.9314
Y In Os
1 1 3
direct
0.0000 0.0000 0.0000
0.5000 0.5000 0.5000
0.0000 0.0000 0.5000
0.0000 0.5000 0.0000
0.5000 0.0000 0.0000
```

Computed properties:
Total magnetic moment (μB/atom): 0.794
Energy of formation (meV/atom): 2672

---

[3]
Here is crystalline YInOs at its relaxed geometry from Alexandria. Energies are from PBE.

Cell and atoms, written as POSCAR:
```
YInOs
1.0
3.3775 0.0000 0.0000
-1.6888 2.9250 0.0000
0.0000 0.0000 6.7606
Y In Os
1 1 1
direct
0.0000 0.0000 0.0000
0.3333 0.6667 0.3999
0.6667 0.3333 0.6996
```

Computed properties:
Total magnetic moment (μB/atom): 0.000
Energy of formation (meV/atom): 283

---

[4]
Here is crystalline Y4InOs at its relaxed geometry from Alexandria. Energies are from PBE.

Cell and atoms, written as POSCAR:
```
Y4InOs
1.0
0.0000 4.2485 4.2485
4.2485 0.0000 4.2485
4.2485 4.2485 0.0000
Y In Os
4 1 1
direct
0.3767 0.3767 0.3767
0.3767 0.3767 0.8699
0.3767 0.8699 0.3767
0.8699 0.3767 0.3767
0.0000 0.0000 0.0000
0.7500 0.7500 0.7500
```

Computed properties:
Total magnetic moment (μB/atom): 0.001
Energy of formation (meV/atom): 697

---

[5]
Here is crystalline YInOs3 at its relaxed geometry from Alexandria. Energies are from PBE.

Cell and atoms, written as POSCAR:
```
YInOs3
1.0
4.8405 0.0000 0.0000
0.0000 4.8405 0.0000
0.0000 0.0000 4.8405
Y In Os
1 1 3
direct
0.0000 0.0000 0.0000
0.5000 0.5000 0.5000
0.0000 0.5000 0.5000
0.5000 0.0000 0.5000
0.5000 0.5000 0.0000
```

Computed properties:
Total magnetic moment (μB/atom): 0.180
Energy of formation (meV/atom): 1936

---

[6]
Here is crystalline Y2InOs at its relaxed geometry from Alexandria. Energies are from PBE.

Cell and atoms, written as POSCAR:
```
Y2InOs
1.0
3.4931 0.0000 0.0000
0.0000 3.4931 0.0000
0.0000 0.0000 7.6712
Y In Os
2 1 1
direct
0.0000 0.0000 0.2143
0.0000 0.0000 0.7857
0.5000 0.5000 0.5000
0.5000 0.5000 0.0000
```

Computed properties:
Total magnetic moment (μB/atom): 0.000
Energy of formation (meV/atom): -347